Here is Ho4PuIr5 after structural relaxation from Alexandria. Energies are from PBE.

## Properties
The mass density comes out at 15.5 g/cm3. As for the formation energy from the elements: -0.734 eV per atom. As for the total magnetization: 4.62 μB per formula unit.

a = 3.345 Å, b = 3.345 Å, c = 17.799 Å
α = 90.00°, β = 90.00°, γ = 90.00°
Each line ends with the local moment (μB).
Positions (direct):
Ir1 0.500 0.500 0.500  0.01
Ir2 0.500 0.500 0.099  -0.28
Pu1 0.000 0.000 0.000  4.86
Ir3 0.500 0.500 0.699  0.01
Ir4 0.500 0.500 0.901  -0.28
Ho1 0.000 0.000 0.201  0.05
Ir5 0.500 0.500 0.301  0.01
Ho2 0.000 0.000 0.799  0.05
Ho3 0.000 0.000 0.600  0.01
Ho4 0.000 0.000 0.400  0.01